(w)
## FeTcNiGe (PBE-GGA)

Data for a relaxed FeTcNiGe crystal.

The space group is F-43m (216). Its calculated density is 9.32 g cm⁻³. The value obtained for the size of the total moment is 0.4383 μB/atom.

a = 4.157 Å, b = 4.157 Å, c = 4.157 Å
α = 60.00°, β = 60.00°, γ = 60.00°
Positions (direct):
Fe: 0.000 0.000 0.000
Tc: 0.500 0.500 0.500
Ni: 0.250 0.250 0.250
Ge: 0.750 0.750 0.750


(x)
## FeTcNiGe (PBE-GGA)

Data for a relaxed FeTcNiGe crystal.

The space group is F-43m (216). Its calculated density is 9.12 g cm⁻³. The value obtained for the size of the total moment is 0.9372 μB/atom.

a = 4.187 Å, b = 4.187 Å, c = 4.187 Å
α = 60.00°, β = 60.00°, γ = 60.00°
Positions (direct):
Fe: 0.000 0.000 0.000
Tc: 0.250 0.250 0.250
Ni: 0.750 0.750 0.750
Ge: 0.500 0.500 0.500


Which of them is the most stable, and which is the least stable? (x) and (w), in that order.


(w)
## FeNiGeTe3 (PBE-GGA)

Data for a relaxed FeNiGeTe3 crystal.

The space group is Cmcm (63). Its calculated density is 6.95 g cm⁻³. The value obtained for the size of the total moment is 0.3818 μB/atom.

a = 7.033 Å, b = 7.033 Å, c = 10.521 Å
α = 90.00°, β = 90.00°, γ = 148.43°
Positions (direct):
Fe: 0.000 0.000 0.000
Fe: 0.000 0.000 0.500
Ni: 0.450 0.550 0.750
Ni: 0.550 0.450 0.250
Ge: 0.179 0.821 0.250
Ge: 0.821 0.179 0.750
Te: 0.075 0.925 0.750
Te: 0.365 0.635 0.534
Te: 0.365 0.635 0.966
Te: 0.635 0.365 0.034
Te: 0.635 0.365 0.466
Te: 0.925 0.075 0.250


(x)
## FeNiGeTe3 (PBE-GGA)

Data for a relaxed FeNiGeTe3 crystal.

The space group is Cmcm (63). Its calculated density is 6.97 g cm⁻³. The value obtained for the size of the total moment is 0.3809 μB/atom.

a = 7.283 Å, b = 7.283 Å, c = 10.322 Å
α = 90.00°, β = 90.00°, γ = 150.27°
Positions (direct):
Fe: 0.044 0.956 0.750
Fe: 0.956 0.044 0.250
Ni: 0.500 0.500 0.000
Ni: 0.500 0.500 0.500
Ge: 0.316 0.684 0.250
Ge: 0.684 0.316 0.750
Te: 0.132 0.868 0.535
Te: 0.132 0.868 0.965
Te: 0.418 0.582 0.750
Te: 0.582 0.418 0.250
Te: 0.868 0.132 0.035
Te: 0.868 0.132 0.465


Which of them is the most stable, and which is the least stable? (w) and (x), in that order.


(w)
## FeNiGeW (PBE-GGA)

Data for a relaxed FeNiGeW crystal.

The space group is F-43m (216). Its calculated density is 12.01 g cm⁻³. The value obtained for the size of the total moment is 0.0061 μB/atom.

a = 4.171 Å, b = 4.171 Å, c = 4.171 Å
α = 60.00°, β = 60.00°, γ = 60.00°
Positions (direct):
Fe: 0.000 0.000 0.000
Ni: 0.500 0.500 0.500
Ge: 0.750 0.750 0.750
W: 0.250 0.250 0.250


(x)
## FeNiGeW (PBE-GGA)

Data for a relaxed FeNiGeW crystal.

The space group is F-43m (216). Its calculated density is 11.76 g cm⁻³. The value obtained for the size of the total moment is 0.3373 μB/atom.

a = 4.200 Å, b = 4.200 Å, c = 4.200 Å
α = 60.00°, β = 60.00°, γ = 60.00°
Positions (direct):
Fe: 0.000 0.000 0.000
Ni: 0.250 0.250 0.250
Ge: 0.750 0.750 0.750
W: 0.500 0.500 0.500


Which of them is the most stable, and which is the least stable? (w) and (x), in that order.


(w)
## ScFeGeOs (PBE-GGA)

Data for a relaxed ScFeGeOs crystal.

The space group is F-43m (216). Its calculated density is 9.82 g cm⁻³. The value obtained for the size of the total moment is 0.9682 μB/atom.

a = 4.431 Å, b = 4.431 Å, c = 4.431 Å
α = 60.00°, β = 60.00°, γ = 60.00°
Positions (direct):
Sc: 0.000 0.000 0.000
Fe: 0.500 0.500 0.500
Ge: 0.250 0.250 0.250
Os: 0.750 0.750 0.750


(x)
## ScFeGeOs (PBE-GGA)

Data for a relaxed ScFeGeOs crystal.

The space group is F-43m (216). Its calculated density is 10.53 g cm⁻³. The value obtained for the size of the total moment is 0.2096 μB/atom.

a = 4.329 Å, b = 4.329 Å, c = 4.329 Å
α = 60.00°, β = 60.00°, γ = 60.00°
Positions (direct):
Sc: 0.000 0.000 0.000
Fe: 0.750 0.750 0.750
Ge: 0.500 0.500 0.500
Os: 0.250 0.250 0.250


Which of them is the most stable, and which is the least stable? (x) and (w), in that order.


(w)
## YFeGeOs (PBE-GGA)

Data for a relaxed YFeGeOs crystal.

The space group is F-43m (216). Its calculated density is 10.58 g cm⁻³. The value obtained for the size of the total moment is 0.2395 μB/atom.

a = 4.490 Å, b = 4.490 Å, c = 4.490 Å
α = 60.00°, β = 60.00°, γ = 60.00°
Positions (direct):
Y: 0.000 0.000 0.000
Fe: 0.750 0.750 0.750
Ge: 0.500 0.500 0.500
Os: 0.250 0.250 0.250


(x)
## YFeGeOs (PBE-GGA)

Data for a relaxed YFeGeOs crystal.

The space group is F-43m (216). Its calculated density is 9.71 g cm⁻³. The value obtained for the size of the total moment is 1.0228 μB/atom.

a = 4.619 Å, b = 4.619 Å, c = 4.619 Å
α = 60.00°, β = 60.00°, γ = 60.00°
Positions (direct):
Y: 0.000 0.000 0.000
Fe: 0.500 0.500 0.500
Ge: 0.250 0.250 0.250
Os: 0.750 0.750 0.750


Which of them is the most stable, and which is the least stable? (w) and (x), in that order.


(w)
## FeSi16Ge12P3 (PBE-GGA)

Data for a relaxed FeSi16Ge12P3 crystal.

The space group is P1 (1). Its calculated density is 3.60 g cm⁻³. The value obtained for the size of the total moment is 0.0938 μB/atom.

a = 6.768 Å, b = 10.343 Å, c = 10.370 Å
α = 81.61°, β = 70.98°, γ = 83.72°
Positions (direct):
Fe: 0.000 0.000 0.000
Si: 0.010 0.767 0.753
Si: 0.012 0.879 0.372
Si: 0.019 0.262 0.248
Si: 0.021 0.637 0.127
Si: 0.126 0.718 0.523
Si: 0.129 0.844 0.138
Si: 0.132 0.598 0.895
Si: 0.135 0.463 0.265
Si: 0.496 0.944 0.690
Si: 0.499 0.829 0.068
Si: 0.506 0.447 0.188
Si: 0.512 0.323 0.567
Si: 0.634 0.526 0.581
Si: 0.636 0.400 0.960
Si: 0.636 0.783 0.833
Si: 0.637 0.904 0.454
Ge: 0.010 0.513 0.499
Ge: 0.012 0.391 0.884
Ge: 0.019 0.124 0.632
Ge: 0.120 0.198 0.022
Ge: 0.137 0.338 0.647
Ge: 0.138 0.084 0.389
Ge: 0.505 0.194 0.953
Ge: 0.505 0.700 0.440
Ge: 0.510 0.575 0.818
Ge: 0.630 0.145 0.711
Ge: 0.639 0.274 0.330
Ge: 0.642 0.651 0.200
P: 0.131 0.958 0.782
P: 0.517 0.066 0.308
P: 0.659 0.016 0.076


(x)
## FeSi16Ge12P3 (PBE-GGA)

Data for a relaxed FeSi16Ge12P3 crystal.

The space group is P1 (1). Its calculated density is 3.59 g cm⁻³. The value obtained for the size of the total moment is 0.0310 μB/atom.

a = 6.729 Å, b = 10.274 Å, c = 10.525 Å
α = 80.54°, β = 71.55°, γ = 83.80°
Positions (direct):
Fe: 0.000 0.000 0.000
Si: 0.006 0.117 0.622
Si: 0.006 0.878 0.370
Si: 0.007 0.741 0.741
Si: 0.378 0.726 0.665
Si: 0.379 0.218 0.167
Si: 0.382 0.102 0.534
Si: 0.386 0.607 0.045
Si: 0.505 0.183 0.936
Si: 0.505 0.679 0.439
Si: 0.507 0.809 0.056
Si: 0.513 0.056 0.309
Si: 0.881 0.279 0.472
Si: 0.882 0.149 0.858
Si: 0.885 0.535 0.733
Si: 0.886 0.042 0.219
Si: 0.892 0.914 0.599
Ge: 0.010 0.624 0.119
Ge: 0.011 0.356 0.877
Ge: 0.361 0.982 0.919
Ge: 0.385 0.851 0.290
Ge: 0.386 0.471 0.418
Ge: 0.500 0.424 0.184
Ge: 0.504 0.556 0.816
Ge: 0.511 0.931 0.681
Ge: 0.882 0.671 0.356
Ge: 0.886 0.409 0.109
Ge: 0.888 0.808 0.967
Ge: 0.998 0.485 0.502
P: 0.014 0.233 0.249
P: 0.380 0.352 0.808
P: 0.527 0.290 0.540


(y)
## FeSi16Ge12P3 (PBE-GGA)

Data for a relaxed FeSi16Ge12P3 crystal.

The space group is P1 (1). Its calculated density is 3.63 g cm⁻³. The value obtained for the size of the total moment is 0.0351 μB/atom.

a = 6.759 Å, b = 10.282 Å, c = 10.351 Å
α = 81.80°, β = 71.29°, γ = 83.86°
Positions (direct):
Fe: 0.000 0.000 0.000
Si: 0.020 0.505 0.496
Si: 0.027 0.882 0.363
Si: 0.032 0.382 0.877
Si: 0.147 0.586 0.889
Si: 0.147 0.967 0.781
Si: 0.148 0.459 0.268
Si: 0.148 0.850 0.127
Si: 0.516 0.822 0.063
Si: 0.518 0.941 0.681
Si: 0.520 0.058 0.304
Si: 0.530 0.317 0.561
Si: 0.532 0.694 0.431
Si: 0.644 0.779 0.829
Si: 0.650 0.522 0.571
Si: 0.652 0.654 0.199
Si: 0.653 0.896 0.449
Ge: 0.022 0.764 0.751
Ge: 0.029 0.634 0.124
Ge: 0.032 0.252 0.244
Ge: 0.141 0.190 0.007
Ge: 0.149 0.332 0.641
Ge: 0.152 0.711 0.511
Ge: 0.523 0.449 0.188
Ge: 0.523 0.573 0.807
Ge: 0.526 0.185 0.943
Ge: 0.645 0.264 0.329
Ge: 0.658 0.140 0.701
Ge: 0.658 0.396 0.950
P: 0.036 0.121 0.626
P: 0.154 0.077 0.386
P: 0.658 0.012 0.078


Which of them is the most stable, and which is the least stable? (w) and (x), in that order.


(w)
## FeSi15Ge13P3 (PBE-GGA)

Data for a relaxed FeSi15Ge13P3 crystal.

The space group is P1 (1). Its calculated density is 3.69 g cm⁻³. The value obtained for the size of the total moment is 0.0572 μB/atom.

a = 5.575 Å, b = 7.822 Å, c = 15.629 Å
α = 89.97°, β = 89.41°, γ = 89.74°
Positions (direct):
Fe: 0.000 0.000 0.000
Si: 0.006 0.503 0.992
Si: 0.017 0.504 0.494
Si: 0.259 0.501 0.114
Si: 0.260 0.008 0.622
Si: 0.261 0.499 0.617
Si: 0.274 0.997 0.103
Si: 0.498 0.259 0.870
Si: 0.503 0.252 0.115
Si: 0.508 0.254 0.620
Si: 0.509 0.746 0.114
Si: 0.741 0.256 0.746
Si: 0.757 0.748 0.235
Si: 0.760 0.752 0.745
Si: 0.769 0.256 0.231
Si: 0.782 0.760 0.997
Ge: 0.001 0.007 0.748
Ge: 0.007 0.499 0.744
Ge: 0.020 0.998 0.229
Ge: 0.029 0.003 0.494
Ge: 0.242 0.009 0.881
Ge: 0.259 0.505 0.363
Ge: 0.271 0.002 0.360
Ge: 0.503 0.753 0.622
Ge: 0.516 0.755 0.874
Ge: 0.536 0.254 0.360
Ge: 0.763 0.753 0.492
Ge: 0.764 0.245 0.990
Ge: 0.766 0.256 0.494
P: 0.002 0.504 0.234
P: 0.255 0.502 0.871
P: 0.529 0.750 0.361


(x)
## FeSi15Ge13P3 (PBE-GGA)

Data for a relaxed FeSi15Ge13P3 crystal.

The space group is P1 (1). Its calculated density is 3.70 g cm⁻³. The value obtained for the size of the total moment is 0.0721 μB/atom.

a = 5.518 Å, b = 7.864 Å, c = 15.670 Å
α = 90.04°, β = 90.57°, γ = 90.52°
Positions (direct):
Fe: 0.000 0.000 0.000
Si: 0.005 0.480 0.250
Si: 0.005 0.480 0.753
Si: 0.015 0.989 0.758
Si: 0.245 0.979 0.114
Si: 0.246 0.477 0.126
Si: 0.252 0.989 0.887
Si: 0.253 0.986 0.635
Si: 0.271 0.478 0.636
Si: 0.513 0.228 0.881
Si: 0.516 0.230 0.375
Si: 0.759 0.231 0.757
Si: 0.759 0.233 0.252
Si: 0.763 0.728 0.249
Si: 0.776 0.736 0.757
Si: 0.992 0.476 0.004
Ge: 0.008 0.983 0.245
Ge: 0.030 0.480 0.509
Ge: 0.256 0.984 0.377
Ge: 0.257 0.475 0.881
Ge: 0.265 0.477 0.376
Ge: 0.497 0.730 0.126
Ge: 0.502 0.230 0.124
Ge: 0.509 0.741 0.879
Ge: 0.514 0.738 0.635
Ge: 0.524 0.735 0.376
Ge: 0.756 0.230 0.507
Ge: 0.772 0.735 0.508
Ge: 0.785 0.744 0.005
P: 0.025 0.987 0.509
P: 0.502 0.230 0.636
P: 0.766 0.227 0.001


(y)
## FeSi15Ge13P3 (PBE-GGA)

Data for a relaxed FeSi15Ge13P3 crystal.

The space group is P1 (1). Its calculated density is 3.71 g cm⁻³. The value obtained for the size of the total moment is 0.0053 μB/atom.

a = 5.513 Å, b = 7.800 Å, c = 15.767 Å
α = 89.66°, β = 88.54°, γ = 89.72°
Positions (direct):
Fe: 0.000 0.000 0.000
Si: 0.189 0.006 0.875
Si: 0.229 0.008 0.359
Si: 0.233 0.514 0.867
Si: 0.247 0.505 0.358
Si: 0.462 0.768 0.867
Si: 0.480 0.760 0.362
Si: 0.481 0.771 0.107
Si: 0.484 0.252 0.361
Si: 0.728 0.254 0.482
Si: 0.733 0.794 0.981
Si: 0.737 0.251 0.237
Si: 0.740 0.761 0.479
Si: 0.763 0.221 0.980
Si: 0.990 0.013 0.743
Si: 0.994 0.009 0.236
Ge: 0.225 0.012 0.611
Ge: 0.233 0.513 0.106
Ge: 0.245 0.508 0.609
Ge: 0.462 0.251 0.870
Ge: 0.498 0.249 0.108
Ge: 0.507 0.764 0.609
Ge: 0.725 0.256 0.739
Ge: 0.726 0.766 0.233
Ge: 0.731 0.768 0.742
Ge: 0.949 0.513 0.986
Ge: 0.983 0.505 0.238
Ge: 0.989 0.504 0.483
Ge: 0.993 0.509 0.741
P: 0.228 0.008 0.113
P: 0.499 0.254 0.607
P: 0.975 0.009 0.480


Which of them is the most stable, and which is the least stable? (y) and (w), in that order.